(1)
Density functional theory data (PBE-GGA) for a relaxed ZnCoAu3 crystal.

The space group is Pm-3m (No. 221) and the conventional cell measures 4.786, 4.786 and 4.786 Å, with angles of 90.00, 90.00 and 90.00 degrees. Symmetry generates all atoms from Zn at (0.000, 0.000, 0.000), Co at (0.500, 0.500, 0.500) and Au at (0.000, 0.500, 0.500).

As for the formation energy: 0.76 eV per atom. As for the total energy: -14.4 eV per cell.

=====

(2)
Density functional theory data (PBE-GGA) for a relaxed Zn2CoAu2 crystal.

The space group is P4/mbm (No. 127) and the conventional cell measures 7.386, 7.386 and 2.983 Å, with angles of 90.00, 90.00 and 90.00 degrees. Symmetry generates all atoms from Zn at (0.159, 0.341, 0.000), Co at (0.000, 0.000, 0.500) and Au at (0.143, 0.643, 0.500).

As for the formation energy: 0.14 eV per atom. As for the total energy: -31.0 eV per cell.

=====

(3)
Density functional theory data (PBE-GGA) for a relaxed ZnCoAu crystal.

The space group is P-1 (No. 2) and the conventional cell measures 3.675, 3.855 and 6.382 Å, with angles of 90.14, 106.36 and 90.01 degrees. Symmetry generates all atoms from Zn at (0.101, 0.250, 0.199), Co at (0.252, 0.750, 0.505) and Au at (0.409, 0.250, 0.822).

As for the formation energy: 0.01 eV per atom. As for the total energy: -23.3 eV per cell.

=====

(4)
Density functional theory data (PBE-GGA) for a relaxed Zn2CoAu crystal.

The space group is F-43m (No. 216) and the conventional cell measures 6.116, 6.116 and 6.116 Å, with angles of 90.00, 90.00 and 90.00 degrees. Symmetry generates all atoms from Zn at (0.000, 0.000, 0.000), Zn at (0.250, 0.250, 0.250), Co at (0.250, 0.250, 0.750) and Au at (0.000, 0.000, 0.500).

As for the formation energy: 0.04 eV per atom. As for the total energy: -51.0 eV per cell.